Below is a geometry-optimized MgFe2B structure, with properties calculated at the GGA-PBE level.

Values from the calculation:
Energy relative to the elements in meV per atom: 498
Total energy in eV/atom: -5.80

CIF file:
```
data_MgFe2B
_chemical_formula_sum 'Mg4 Fe8 B4'
_symmetry_space_group_name_H-M 'F m -3 m'
_symmetry_Int_Tables_number 225
_symmetry_space_group_name_Hall '-F 4 2 3'
_cell_length_a 5.507
_cell_length_b 5.507
_cell_length_c 5.507
_cell_angle_alpha 90.00
_cell_angle_beta 90.00
_cell_angle_gamma 90.00
loop_
_atom_site_label
_atom_site_fract_x
_atom_site_fract_y
_atom_site_fract_z
Mg1 0.000 0.000 0.000
Fe1 0.250 0.250 0.250
B1 0.000 0.000 0.500
```